[1]
Entry from Alexandria: KCrGeF5 after structural relaxation (PBE+U).

Lattice parameters (Å, degrees): 6.3674 6.3674 8.2957 108.65 108.65 100.17
Closest atoms and distances in Å follow each position.
Atoms (fractional coordinates):
K  0.3291  0.6709  0.2500  7 F 2.65-2.96
K  0.6709  0.3291  0.7500  7 F 2.65-2.96
Cr  0.0000  0.0000  0.5000  4 F 2.04-2.09
Cr  0.0000  0.0000  0.0000  4 F 2.04-2.09
Ge  0.7278  0.2722  0.2500  2 F 1.93
Ge  0.2722  0.7278  0.7500  2 F 1.93
F  0.0262  0.9738  0.2500  2 Cr 2.09
F  0.9738  0.0262  0.7500  2 Cr 2.09
F  0.9196  0.3039  0.0637  1 Cr 2.04
F  0.0804  0.6961  0.9363  1 Cr 2.04
F  0.6961  0.0804  0.4363  1 Cr 2.04
F  0.3039  0.9196  0.5637  1 Cr 2.04
F  0.7663  0.5937  0.3893  1 Ge 1.93
F  0.2337  0.4063  0.6107  1 Ge 1.93
F  0.4063  0.2337  0.1107  1 Ge 1.93
F  0.5937  0.7663  0.8893  1 Ge 1.93

Values from the calculation:
**Calculated total energy**: -84.14 eV/cell
**Symmetry**: No. 15

[2]
Entry from Alexandria: LaCrGeF2 after structural relaxation (PBE+U).

Lattice parameters (Å, degrees): 4.4292 7.0125 4.4292 90.00 90.00 90.00
Closest atoms and distances in Å follow each position.
Atoms (fractional coordinates):
Cr  0.0000  0.5000  0.0000  4 Ge 3.13, 2 La 3.51
Ge  0.5000  0.5000  0.5000  4 Cr 3.13
F  0.0000  0.0000  0.5000  2 La 2.21
F  0.5000  0.0000  0.0000  2 La 2.21
La  0.0000  0.0000  0.0000  4 F 2.21

Values from the calculation:
**Calculated total energy**: -28.75 eV/cell
**Symmetry**: No. 123